A plane-wave DFT calculation with PBE was carried out for an optimized crystal structure of Sm3Tm3Te2Os.

Structure (extended XYZ):
```
9
Lattice="8.399 0.000 0.000 -4.200 7.274 0.000 0.000 0.000 4.023" Properties=species:S:1:pos:R:3 pbc="T T T"
Sm -3.171 5.492 0.000
Sm 1.029 1.782 0.000
Sm 6.342 0.000 0.000
Tm -1.639 2.838 2.011
Tm 3.277 0.000 2.011
Tm 2.561 4.436 2.011
Te 0.000 4.849 0.000
Te 4.200 2.425 0.000
Os 0.000 0.000 2.011
```

Properties
electronic total energy	-5.63	eV per atom


A plane-wave DFT calculation with PBE was carried out for an optimized crystal structure of Sm3Tm3Te2Os.

Structure (extended XYZ):
```
9
Lattice="8.336 0.000 0.000 -4.168 7.219 0.000 0.000 0.000 4.096" Properties=species:S:1:pos:R:3 pbc="T T T"
Sm -1.649 2.856 0.000
Sm 3.297 0.000 0.000
Sm 2.519 4.364 0.000
Tm -3.197 5.537 2.048
Tm 0.972 1.683 2.048
Tm 6.393 0.000 2.048
Te 0.000 4.813 2.048
Te 4.168 2.406 2.048
Os 0.000 0.000 0.000
```

Properties
electronic total energy	-5.77	eV per atom


A plane-wave DFT calculation with PBE was carried out for an optimized crystal structure of Sm3Y3Te2Os.

Structure (extended XYZ):
```
9
Lattice="8.390 0.000 0.000 -4.195 7.266 0.000 0.000 0.000 4.099" Properties=species:S:1:pos:R:3 pbc="T T T"
Sm -2.534 4.390 0.000
Sm 1.661 2.876 0.000
Sm 5.069 0.000 0.000
Y -0.997 1.727 2.050
Y 1.994 0.000 2.050
Y 3.198 5.539 2.050
Te 0.000 4.844 2.050
Te 4.195 2.422 2.050
Os 0.000 0.000 0.000
```

Properties
electronic total energy	-6.41	eV per atom


A plane-wave DFT calculation with PBE was carried out for an optimized crystal structure of Sm3Y3Te2Os.

Structure (extended XYZ):
```
9
Lattice="8.444 0.000 0.000 -4.222 7.313 0.000 0.000 0.000 4.038" Properties=species:S:1:pos:R:3 pbc="T T T"
Sm -1.023 1.772 0.000
Sm 2.046 0.000 0.000
Sm 3.199 5.541 0.000
Y -2.549 4.416 2.019
Y 1.672 2.897 2.019
Y 5.099 0.000 2.019
Te 0.000 4.875 0.000
Te 4.222 2.438 0.000
Os 0.000 0.000 2.019
```

Properties
electronic total energy	-6.35	eV per atom


A plane-wave DFT calculation with PBE was carried out for an optimized crystal structure of SmTlOs.

Structure (extended XYZ):
```
3
Lattice="0.000 3.428 3.428 3.428 0.000 3.428 3.428 3.428 0.000" Properties=species:S:1:pos:R:3 pbc="T T T"
Sm 0.000 0.000 0.000
Tl 1.714 1.714 1.714
Os 5.142 5.142 5.142
```

Properties
electronic total energy	-5.19	eV per atom


A plane-wave DFT calculation with PBE was carried out for an optimized crystal structure of SmTlOs.

Structure (extended XYZ):
```
3
Lattice="0.000 3.368 3.368 3.368 0.000 3.368 3.368 3.368 0.000" Properties=species:S:1:pos:R:3 pbc="T T T"
Sm 0.000 0.000 0.000
Tl 5.051 5.051 5.051
Os 3.368 3.368 3.368
```

Properties
electronic total energy	-5.38	eV per atom


A plane-wave DFT calculation with PBE was carried out for an optimized crystal structure of SmYOs.

Structure (extended XYZ):
```
3
Lattice="0.000 3.362 3.362 3.362 0.000 3.362 3.362 3.362 0.000" Properties=species:S:1:pos:R:3 pbc="T T T"
Sm 0.000 0.000 0.000
Y 5.043 5.043 5.043
Os 3.362 3.362 3.362
```

Properties
energy relative to the elements	72.3	kJ per mole of atoms


A plane-wave DFT calculation with PBE was carried out for an optimized crystal structure of SmZnOs.

Structure (extended XYZ):
```
3
Lattice="0.000 3.227 3.227 3.227 0.000 3.227 3.227 3.227 0.000" Properties=species:S:1:pos:R:3 pbc="T T T"
Sm 0.000 0.000 0.000
Zn 3.227 3.227 3.227
Os 1.614 1.614 1.614
```

Properties
energy relative to the elements	30.0	kJ per mole of atoms


A plane-wave DFT calculation with PBE was carried out for an optimized crystal structure of SmZnOs.

Structure (extended XYZ):
```
3
Lattice="0.000 3.295 3.295 3.295 0.000 3.295 3.295 3.295 0.000" Properties=species:S:1:pos:R:3 pbc="T T T"
Sm 0.000 0.000 0.000
Zn 1.648 1.648 1.648
Os 4.943 4.943 4.943
```

Properties
energy relative to the elements	89.8	kJ per mole of atoms


A plane-wave DFT calculation with PBE was carried out for an optimized crystal structure of SmZrOs.

Structure (extended XYZ):
```
3
Lattice="0.000 3.273 3.273 3.273 0.000 3.273 3.273 3.273 0.000" Properties=species:S:1:pos:R:3 pbc="T T T"
Sm 0.000 0.000 0.000
Zr 4.910 4.910 4.910
Os 3.273 3.273 3.273
```

Properties
energy relative to the elements	49.8	kJ per mole of atoms


A plane-wave DFT calculation with PBE was carried out for an optimized crystal structure of SmZrOs.

Structure (extended XYZ):
```
3
Lattice="0.000 3.277 3.277 3.277 0.000 3.277 3.277 3.277 0.000" Properties=species:S:1:pos:R:3 pbc="T T T"
Sm 0.000 0.000 0.000
Zr 1.639 1.639 1.639
Os 4.916 4.916 4.916
```

Properties
energy relative to the elements	97.6	kJ per mole of atoms


A plane-wave DFT calculation with PBE was carried out for an optimized crystal structure of SnOs2.

Structure (extended XYZ):
```
6
Lattice="0.000 5.981 5.981 5.981 0.000 5.981 5.981 5.981 0.000" Properties=species:S:1:pos:R:3 pbc="T T T"
Sn 1.495 1.495 1.495
Sn 10.466 10.466 10.466
Os 0.000 0.000 0.000
Os 2.990 2.990 0.000
Os 2.990 0.000 2.990
Os 0.000 2.990 2.990
```

Properties
electronic total energy	-4.84	eV per atom


> Which formula does entry 6 have?

SmTlOs